(1)
Entry from Alexandria: a PBEsol-optimized structure of AgAs2 (SCAN).

Results
ΔE_f, eV per atom: 0.298
Total moment, μB/cell: 0.000
Symmetry: No. 141

Cell lengths 10.5064, 10.5064, 10.5064 Å; angles 161.50, 161.50, 26.28 degrees
With the nearest neighbours (Å) after each atom.
Sites, in units of the cell vectors:
Ag 0.3750 0.6250 0.7500  8 As 2.90
Ag 0.6250 0.3750 0.2500  8 As 2.90
As 0.0448 0.7948 0.2500  2 As 2.49
As 0.2052 0.9552 0.2500  2 As 2.49
As 0.7948 0.0448 0.7500  2 As 2.49
As 0.9552 0.2052 0.7500  2 As 2.49

(2)
Entry from Alexandria: a PBEsol-optimized structure of TiTlPO5 (SCAN).

Results
ΔE_f (raw), eV/atom: -2.590
Total moment, μB/cell: 0.000
Symmetry: No. 52
E above lowest polymorph, eV/atom: 0.0035

Cell lengths 12.9174, 10.5559, 6.4705 Å; angles 90.00, 90.00, 90.00 degrees
With the nearest neighbours (Å) after each atom.
Sites, in units of the cell vectors:
Ti 0.0000 0.0000 0.0000  6 O 1.89-2.01
Ti 0.0000 0.5000 0.5000  6 O 1.89-2.01
Ti 0.1199 0.2500 0.2500  4 O 1.82-2.03
Ti 0.3801 0.7500 0.2500  4 O 1.82-2.03
Ti 0.5000 0.0000 0.0000  6 O 1.89-2.01
Ti 0.5000 0.5000 0.5000  6 O 1.89-2.01
Ti 0.6199 0.2500 0.7500  4 O 1.82-2.03
Ti 0.8801 0.7500 0.7500  4 O 1.82-2.03
Tl 0.1446 0.6502 0.9532  4 O 2.62-2.93
Tl 0.1446 0.8498 0.5468  4 O 2.62-2.93
Tl 0.3554 0.1502 0.5468  4 O 2.62-2.93
Tl 0.3554 0.3498 0.9532  4 O 2.62-2.93
Tl 0.6446 0.6502 0.0468  4 O 2.62-2.93
Tl 0.6446 0.8498 0.4532  4 O 2.62-2.93
Tl 0.8554 0.1502 0.4532  4 O 2.62-2.93
Tl 0.8554 0.3498 0.0468  4 O 2.62-2.93
P 0.0687 0.2500 0.7500  4 O 1.54-1.56
P 0.2500 0.0000 0.0834  4 O 1.55
P 0.2500 0.5000 0.4166  4 O 1.55
P 0.4313 0.7500 0.7500  4 O 1.54-1.56
P 0.5687 0.2500 0.2500  4 O 1.54-1.56
P 0.7500 0.0000 0.9166  4 O 1.55
P 0.7500 0.5000 0.5834  4 O 1.55
P 0.9313 0.7500 0.2500  4 O 1.54-1.56
O 0.0043 0.6354 0.2901  1 P 1.56
O 0.0043 0.8646 0.2099  1 P 1.56
O 0.0274 0.1232 0.2046  2 Ti 1.82-1.89
O 0.0274 0.3768 0.2954  2 Ti 1.82-1.89
O 0.1362 0.2221 0.5588  1 P 1.54
O 0.1362 0.2779 0.9412  1 P 1.54
O 0.1526 0.5179 0.5542  1 P 1.55
O 0.1526 0.9821 0.9458  1 P 1.55
O 0.2379 0.1191 0.2204  1 P 1.55
O 0.2379 0.3809 0.2796  1 P 1.55
O 0.2621 0.6191 0.2796  1 P 1.55
O 0.2621 0.8809 0.2204  1 P 1.55
O 0.3474 0.0179 0.9458  1 P 1.55
O 0.3474 0.4821 0.5542  1 P 1.55
O 0.3638 0.7221 0.9412  1 P 1.54
O 0.3638 0.7779 0.5588  1 P 1.54
O 0.4726 0.6232 0.2954  2 Ti 1.82-1.89
O 0.4726 0.8768 0.2046  2 Ti 1.82-1.89
O 0.4957 0.1354 0.2099  1 P 1.56
O 0.4957 0.3646 0.2901  1 P 1.56
O 0.5043 0.6354 0.7099  1 P 1.56
O 0.5043 0.8646 0.7901  1 P 1.56
O 0.5274 0.1232 0.7954  2 Ti 1.82-1.89
O 0.5274 0.3768 0.7046  2 Ti 1.82-1.89
O 0.6362 0.2221 0.4412  1 P 1.54
O 0.6362 0.2779 0.0588  1 P 1.54
O 0.6526 0.5179 0.4458  1 P 1.55
O 0.6526 0.9821 0.0542  1 P 1.55
O 0.7379 0.1191 0.7796  1 P 1.55
O 0.7379 0.3809 0.7204  1 P 1.55
O 0.7621 0.6191 0.7204  1 P 1.55
O 0.7621 0.8809 0.7796  1 P 1.55
O 0.8474 0.0179 0.0542  1 P 1.55
O 0.8474 0.4821 0.4458  1 P 1.55
O 0.8638 0.7221 0.0588  1 P 1.54
O 0.8638 0.7779 0.4412  1 P 1.54
O 0.9726 0.6232 0.7046  2 Ti 1.82-1.89
O 0.9726 0.8768 0.7954  2 Ti 1.82-1.89
O 0.9957 0.1354 0.7901  1 P 1.56
O 0.9957 0.3646 0.7099  1 P 1.56

(3)
Entry from Alexandria: a PBEsol-optimized structure of LiCa2Tl (SCAN).

Results
ΔE_f, eV per atom: -0.345
Total moment, μB/cell: 0.015
Symmetry: No. 123
E above lowest polymorph, eV/atom: 0.0816

Cell lengths 3.8212, 3.8212, 7.8909 Å; angles 90.00, 90.00, 90.00 degrees
With the nearest neighbours (Å) after each atom.
Sites, in units of the cell vectors:
Li 0.0000 0.0000 0.0000  8 Ca 3.40
Ca 0.5000 0.5000 0.2615  4 Tl 3.29, 4 Li 3.40
Ca 0.5000 0.5000 0.7385  4 Tl 3.29, 4 Li 3.40
Tl 0.0000 0.0000 0.5000  8 Ca 3.29

(4)
Entry from Alexandria: a PBEsol-optimized structure of YTa2In (SCAN).

Results
ΔE_f, eV per atom: 0.431
Total moment, μB/cell: 0.000
Symmetry: No. 166

Cell lengths 10.2955, 10.2955, 10.2955 Å; angles 17.20, 17.20, 17.20 degrees
With the nearest neighbours (Å) after each atom.
Sites, in units of the cell vectors:
Y 0.0000 0.0000 0.0000  6 Y 3.08, 6 Ta 3.19
Ta 0.2464 0.2464 0.2464  3 In 3.01, 6 Ta 3.08, 3 Y 3.19
Ta 0.7536 0.7536 0.7536  3 In 3.01, 6 Ta 3.08, 3 Y 3.19
In 0.5000 0.5000 0.5000  6 Ta 3.01, 6 In 3.08

(5)
Entry from Alexandria: a PBEsol-optimized structure of PrErMn4Co13 (SCAN).

Results
ΔE_f, eV per atom: -0.020
Total moment, μB/cell: 24.482
Symmetry: No. 8

Cell lengths 6.1868, 6.1868, 6.1667 Å; angles 97.13, 97.13, 83.24 degrees
With the nearest neighbours (Å) after each atom.
Sites, in units of the cell vectors:
Pr 0.0000 0.0000 0.0000  16 Co 2.92-3.25, 1 Mn 3.06
Er 0.3028 0.3028 0.6954  16 Co 2.91-3.16, 3 Mn 3.03-3.12
Mn 0.1611 0.6424 0.3573  8 Co 2.30-2.39, 1 Mn 2.45
Mn 0.5566 0.5566 0.4410  3 Mn 2.23-2.45, 1 Co 2.49
Mn 0.6424 0.1611 0.3573  8 Co 2.30-2.39, 1 Mn 2.45
Mn 0.7431 0.7431 0.2547  1 Mn 2.23
Co 0.3091 0.3091 0.2042  3 Mn 2.30-2.50, 6 Co 2.44-2.53
Co 0.3091 0.7992 0.6927  2 Mn 2.30-2.55, 7 Co 2.32-2.54
Co 0.3600 0.6481 0.0574  7 Co 2.33-2.51, 1 Mn 2.35
Co 0.3622 0.9394 0.3497  2 Mn 2.33-2.35, 6 Co 2.35-2.53
Co 0.5079 0.9969 0.0056  2 Mn 2.37-2.54, 7 Co 2.38-2.51
Co 0.6463 0.6463 0.8448  8 Co 2.32-2.38, 2 Mn 2.49-2.54
Co 0.6481 0.3600 0.0574  7 Co 2.33-2.51, 1 Mn 2.35
Co 0.6486 0.9398 0.6376  1 Mn 2.33, 7 Co 2.35-2.54
Co 0.7992 0.3091 0.6927  2 Mn 2.30-2.55, 7 Co 2.32-2.54
Co 0.9394 0.3622 0.3497  2 Mn 2.33-2.35, 6 Co 2.35-2.53
Co 0.9398 0.6486 0.6376  1 Mn 2.33, 7 Co 2.35-2.54
Co 0.9938 0.9938 0.4901  3 Mn 2.39-2.52, 6 Co 2.46-2.51
Co 0.9969 0.5079 0.0056  2 Mn 2.37-2.54, 7 Co 2.38-2.51

(6)
Entry from Alexandria: a PBEsol-optimized structure of MgSiSN2 (SCAN).

Results
ΔE_f (raw), eV/atom: 1.242
Total moment, μB/cell: 3.952
Symmetry: No. 123

Cell lengths 3.9479, 3.9479, 4.9791 Å; angles 90.00, 90.00, 90.00 degrees
With the nearest neighbours (Å) after each atom.
Sites, in units of the cell vectors:
Mg 0.0000 0.0000 0.0000  4 N 1.97
Si 0.5000 0.5000 0.5000  4 S 2.79
S 0.0000 0.0000 0.5000  2 Mg 2.49
N 0.0000 0.5000 0.0000  2 Mg 1.97
N 0.5000 0.0000 0.0000  2 Mg 1.97

(7)
Entry from Alexandria: a PBEsol-optimized structure of Zr4InTe (SCAN).

Results
ΔE_f (raw), eV/atom: 0.064
Total moment, μB/cell: 0.000
Symmetry: No. 216

Cell lengths 5.7568, 5.7568, 5.7568 Å; angles 60.00, 60.00, 60.00 degrees
With the nearest neighbours (Å) after each atom.
Sites, in units of the cell vectors:
Zr 0.3763 0.3763 0.3763  6 Zr 2.85-2.91
Zr 0.3763 0.3763 0.8712  6 Zr 2.85-2.91
Zr 0.3763 0.8712 0.3763  6 Zr 2.85-2.91
Zr 0.8712 0.3763 0.3763  6 Zr 2.85-2.91
In 0.7500 0.7500 0.7500  12 Zr 3.37, 4 Te 3.53
Te 0.0000 0.0000 0.0000  12 Zr 3.38, 4 In 3.53

(8)
Entry from Alexandria: a PBEsol-optimized structure of YCrP2 (SCAN).

Results
ΔE_f, eV per atom: -1.150
Total moment, μB/cell: 2.816
Symmetry: No. 166
E above lowest polymorph, eV/atom: 0.0000

Cell lengths 6.0621, 6.0621, 6.0621 Å; angles 35.93, 35.93, 35.93 degrees
With the nearest neighbours (Å) after each atom.
Sites, in units of the cell vectors:
Y 0.0000 0.0000 0.0000  6 P 2.75
Cr 0.5000 0.5000 0.5000  6 P 2.44
P 0.2332 0.2332 0.2332  3 Cr 2.44
P 0.7668 0.7668 0.7668  3 Cr 2.44

| no. | E_tot (eV per atom) | V (Å³ per cell) |
| --- | --- | --- |
| 1 | -23.62 | 116.7 |
| 2 | -18.83 | 882.3 |
| 3 | -23.86 | 115.2 |
| 4 | -48.17 | 83.3 |
| 5 | -20.63 | 231.1 |
| 6 | -7.40 | 77.6 |
| 7 | -32.17 | 134.9 |
| 8 | -17.91 | 68.6 |